# 1
A relaxed structure of Cu3Ir. Source: the Alexandria database, functional GGA-PBE.

Cell lengths 4.545, 4.545, 2.613 Å; angles 90.00, 90.00, 108.92 degrees
Element x y z (fractional)
Cu1 0.000 0.000 0.000
Cu2 0.000 0.500 0.500
Cu3 0.500 0.000 0.500
Ir1 0.500 0.500 0.000

Calculated values
mass density: 12.45 g cm⁻³
formation energy: 0.257 eV/f.u.
VASP energy: -20.9 eV for the cell shown



# 2
A relaxed structure of Cu5Ir. Source: the Alexandria database, functional GGA-PBE.

Cell lengths 4.740, 4.740, 4.740 Å; angles 60.00, 60.00, 60.00 degrees
Element x y z (fractional)
Cu1 0.000 0.000 0.000
Cu2 0.375 0.375 0.375
Cu3 0.375 0.375 0.875
Cu4 0.375 0.875 0.375
Cu5 0.875 0.375 0.375
Ir1 0.750 0.750 0.750

Calculated values
mass density: 11.24 g cm⁻³
energy above the lowest structure with this stoichiometry: 143 meV/atom
formation energy: 1.153 eV/f.u.
VASP energy: -28.2 eV for the cell shown



# 3
A relaxed structure of Cu3Ir. Source: the Alexandria database, functional GGA-PBE.

Cell lengths 4.704, 4.704, 4.704 Å; angles 90.00, 90.00, 90.00 degrees
Element x y z (fractional)
Cu1 0.000 0.250 0.500
Cu2 0.000 0.750 0.500
Cu3 0.250 0.500 0.000
Cu4 0.500 0.000 0.250
Cu5 0.500 0.000 0.750
Cu6 0.750 0.500 0.000
Ir1 0.000 0.000 0.000
Ir2 0.500 0.500 0.500

Calculated values
mass density: 12.21 g cm⁻³
formation energy: 0.984 eV/f.u.
VASP energy: -40.3 eV for the cell shown



# 4
A relaxed structure of Cu5Ir. Source: the Alexandria database, functional GGA-PBE.

Cell lengths 6.591, 6.591, 2.849 Å; angles 90.00, 90.00, 142.86 degrees
Element x y z (fractional)
Cu1 0.000 0.000 0.000
Cu2 0.163 0.837 0.500
Cu3 0.327 0.673 0.000
Cu4 0.673 0.327 0.000
Cu5 0.837 0.163 0.500
Ir1 0.500 0.500 0.500

Calculated values
mass density: 11.33 g cm⁻³
energy above the lowest structure with this stoichiometry: 33 meV/atom
formation energy: 0.497 eV/f.u.
VASP energy: -28.8 eV for the cell shown



# 5
A relaxed structure of Cu3Ir. Source: the Alexandria database, functional GGA-PBE.

Cell lengths 5.037, 5.037, 4.550 Å; angles 116.57, 116.57, 30.01 degrees
Element x y z (fractional)
Cu1 0.000 0.000 0.000
Cu2 0.500 0.500 0.499
Cu3 0.750 0.750 0.416
Ir1 0.250 0.250 0.916

Calculated values
mass density: 12.42 g cm⁻³
formation energy: 0.297 eV/f.u.
VASP energy: -20.9 eV for the cell shown



# 6
A relaxed structure of Cu3Ir. Source: the Alexandria database, functional GGA-PBE.

Cell lengths 2.553, 3.807, 5.260 Å; angles 90.00, 90.69, 90.00 degrees
Element x y z (fractional)
Cu1 0.000 0.000 0.000
Cu2 0.497 0.500 0.244
Cu3 0.503 0.500 0.756
Ir1 0.000 0.000 0.500

Calculated values
mass density: 12.44 g cm⁻³
formation energy: 0.448 eV/f.u.
VASP energy: -20.7 eV for the cell shown



# 7
A relaxed structure of Cu3Ir. Source: the Alexandria database, functional GGA-PBE.

Cell lengths 7.796, 7.796, 7.796 Å; angles 152.41, 152.41, 39.41 degrees
Element x y z (fractional)
Cu1 0.000 0.500 0.500
Cu2 0.126 0.126 0.000
Cu3 0.250 0.750 0.500
Cu4 0.500 0.000 0.500
Cu5 0.750 0.250 0.500
Cu6 0.874 0.874 0.000
Ir1 0.375 0.375 0.000
Ir2 0.625 0.625 0.000

Calculated values
mass density: 12.54 g cm⁻³
formation energy: 0.475 eV/f.u.
VASP energy: -41.3 eV for the cell shown



# 8
A relaxed structure of Cu3Ir. Source: the Alexandria database, functional GGA-PBE.

Cell lengths 2.646, 2.646, 8.518 Å; angles 90.00, 90.00, 120.00 degrees
Element x y z (fractional)
Cu1 0.000 0.000 0.000
Cu2 0.667 0.333 0.242
Cu3 0.667 0.333 0.758
Ir1 0.000 0.000 0.500

Calculated values
mass density: 12.31 g cm⁻³
formation energy: 0.343 eV/f.u.
VASP energy: -20.8 eV for the cell shown



# 9
A relaxed structure of Cu3Ir. Source: the Alexandria database, functional GGA-PBE.

Cell lengths 5.250, 5.250, 4.255 Å; angles 90.00, 90.00, 120.00 degrees
Element x y z (fractional)
Cu1 0.166 0.331 0.250
Cu2 0.166 0.834 0.250
Cu3 0.331 0.166 0.750
Cu4 0.669 0.834 0.250
Cu5 0.834 0.166 0.750
Cu6 0.834 0.669 0.750
Ir1 0.333 0.667 0.750
Ir2 0.667 0.333 0.250

Calculated values
mass density: 12.52 g cm⁻³
formation energy: 0.584 eV/f.u.
VASP energy: -41.1 eV for the cell shown



# 10
A relaxed structure of Cu3Ir. Source: the Alexandria database, functional GGA-PBE.

Cell lengths 4.563, 4.563, 4.523 Å; angles 100.66, 100.66, 33.56 degrees
Element x y z (fractional)
Cu1 0.000 0.000 0.000
Cu2 0.251 0.251 0.753
Cu3 0.749 0.749 0.247
Ir1 0.500 0.500 0.500

Calculated values
mass density: 12.44 g cm⁻³
formation energy: 0.369 eV/f.u.
VASP energy: -20.8 eV for the cell shown



# 11
A relaxed structure of Cu3Ir5. Source: the Alexandria database, functional GGA-PBE.

Cell lengths 5.406, 5.406, 3.783 Å; angles 90.00, 90.00, 90.46 degrees
Element x y z (fractional)
Cu1 0.000 0.000 0.000
Cu2 0.242 0.242 0.500
Cu3 0.758 0.758 0.500
Ir1 0.000 0.500 0.000
Ir2 0.255 0.745 0.500
Ir3 0.500 0.000 0.000
Ir4 0.500 0.500 0.000
Ir5 0.745 0.255 0.500

Calculated values
mass density: 17.30 g cm⁻³
energy above the lowest structure with this stoichiometry: 0 meV/atom
formation energy: 1.660 eV/f.u.
VASP energy: -54.9 eV for the cell shown



# 12
A relaxed structure of K2CuIr. Source: the Alexandria database, functional GGA-PBE.

Cell lengths 6.172, 6.172, 2.656 Å; angles 90.00, 90.00, 90.00 degrees
Element x y z (fractional)
K1 0.000 0.500 0.000
K2 0.500 0.000 0.000
Cu1 0.000 0.000 0.500
Ir1 0.500 0.500 0.500

Calculated values
mass density: 5.48 g cm⁻³
energy above the lowest structure with this stoichiometry: 334 meV/atom
formation energy: 3.187 eV/f.u.
VASP energy: -12.0 eV for the cell shown



# 13
A relaxed structure of K2CuIr. Source: the Alexandria database, functional GGA-PBE.

Cell lengths 5.352, 5.352, 5.352 Å; angles 60.00, 60.00, 60.00 degrees
Element x y z (fractional)
K1 0.250 0.250 0.250
K2 0.750 0.750 0.750
Cu1 0.000 0.000 0.000
Ir1 0.500 0.500 0.500

Calculated values
mass density: 5.11 g cm⁻³
energy above the lowest structure with this stoichiometry: 693 meV/atom
formation energy: 4.624 eV/f.u.
VASP energy: -10.5 eV for the cell shown



# 14
A relaxed structure of K2CuIr. Source: the Alexandria database, functional GGA-PBE.

Cell lengths 5.886, 5.886, 5.886 Å; angles 136.65, 123.26, 74.01 degrees
Element x y z (fractional)
K1 0.000 0.000 0.000
K2 0.693 0.193 0.500
Cu1 0.397 0.397 0.000
Ir1 0.304 0.804 0.500

Calculated values
mass density: 4.85 g cm⁻³
energy above the lowest structure with this stoichiometry: 134 meV/atom
formation energy: 2.388 eV/f.u.
VASP energy: -12.8 eV for the cell shown



# 15
A relaxed structure of KCu3Ir. Source: the Alexandria database, functional GGA-PBE.

Cell lengths 4.527, 4.527, 4.527 Å; angles 90.00, 90.00, 90.00 degrees
Element x y z (fractional)
K1 0.000 0.000 0.000
Cu1 0.000 0.000 0.500
Cu2 0.000 0.500 0.000
Cu3 0.500 0.000 0.000
Ir1 0.500 0.500 0.500

Calculated values
mass density: 7.55 g cm⁻³
energy above the lowest structure with this stoichiometry: 1446 meV/atom
formation energy: 10.564 eV/f.u.
VASP energy: -11.7 eV for the cell shown



# 16
A relaxed structure of K2CuIr. Source: the Alexandria database, functional GGA-PBE.

Cell lengths 2.797, 5.215, 6.039 Å; angles 90.00, 92.92, 90.00 degrees
Element x y z (fractional)
K1 0.013 0.000 0.247
K2 0.987 0.000 0.753
Cu1 0.500 0.500 0.500
Ir1 0.500 0.500 0.000

Calculated values
mass density: 6.30 g cm⁻³
energy above the lowest structure with this stoichiometry: 381 meV/atom
formation energy: 3.376 eV/f.u.
VASP energy: -11.8 eV for the cell shown



# 17
A relaxed structure of K2CuIr. Source: the Alexandria database, functional GGA-PBE.

Cell lengths 3.439, 3.439, 9.878 Å; angles 90.00, 90.00, 90.00 degrees
Element x y z (fractional)
K1 0.000 0.000 0.000
K2 0.500 0.500 0.442
Cu1 0.000 0.000 0.691
Ir1 0.500 0.500 0.752

Calculated values
mass density: 4.75 g cm⁻³
energy above the lowest structure with this stoichiometry: 11 meV/atom
formation energy: 1.897 eV/f.u.
VASP energy: -13.3 eV for the cell shown



# 18
A relaxed structure of K2CuIr. Source: the Alexandria database, functional GGA-PBE.

Cell lengths 10.095, 10.095, 10.095 Å; angles 163.60, 156.01, 29.20 degrees
Element x y z (fractional)
K1 0.138 0.138 0.000
K2 0.862 0.862 0.000
Cu1 0.000 0.500 0.500
Ir1 0.500 0.000 0.500

Calculated values
mass density: 4.70 g cm⁻³
energy above the lowest structure with this stoichiometry: 35 meV/atom
formation energy: 1.994 eV/f.u.
VASP energy: -13.2 eV for the cell shown



# 19
A relaxed structure of K4CuIr. Source: the Alexandria database, functional GGA-PBE.

Cell lengths 6.409, 6.409, 6.409 Å; angles 60.00, 60.00, 60.00 degrees
Element x y z (fractional)
K1 0.125 0.125 0.125
K2 0.125 0.125 0.624
K3 0.125 0.624 0.125
K4 0.624 0.125 0.125
Cu1 0.750 0.750 0.750
Ir1 0.500 0.500 0.500

Calculated values
mass density: 3.68 g cm⁻³
formation energy: 6.431 eV/f.u.
VASP energy: -10.9 eV for the cell shown



# 20
A relaxed structure of K2CuIr. Source: the Alexandria database, functional GGA-PBE.

Cell lengths 8.832, 8.832, 8.832 Å; angles 94.02, 94.02, 149.29 degrees
Element x y z (fractional)
K1 0.375 0.165 0.290
K2 0.835 0.125 0.210
K3 0.875 0.085 0.710
K4 0.915 0.625 0.790
Cu1 0.000 0.000 0.000
Cu2 0.750 0.250 0.500
Ir1 0.250 0.750 0.500
Ir2 0.500 0.500 0.000

Calculated values
mass density: 3.27 g cm⁻³
energy above the lowest structure with this stoichiometry: 330 meV/atom
formation energy: 3.174 eV/f.u.
VASP energy: -24.0 eV for the cell shown